[1]
Density functional theory data (PBE) for an optimized crystal structure of Bi2PtN.

## Properties
Its formation energy without anion corrections is 385.8 meV per atom.

POSCAR file:
```
Bi2PtN
1.0
5.9489 0.0000 0.0000
0.0000 5.9489 0.0000
2.9744 2.9744 5.5965
Bi Pt N
4 2 2
Direct
0.5783 0.1250 0.2500 Bi
0.1717 0.6250 0.2500 Bi
0.3750 0.4217 0.7500 Bi
0.8750 0.8283 0.7500 Bi
0.0000 0.0000 0.0000 Pt
0.7500 0.2500 0.5000 Pt
0.5000 0.5000 0.0000 N
0.2500 0.7500 0.5000 N
```



[2]
Density functional theory data (PBE) for an optimized crystal structure of BiPtN3.

## Properties
Its formation energy without anion corrections is 1518.6 meV per atom.

POSCAR file:
```
BiPtN3
1.0
3.9898 0.0000 0.0000
0.0000 3.9898 0.0000
0.0000 0.0000 3.9898
Bi Pt N
1 1 3
Direct
0.5000 0.5000 0.5000 Bi
0.0000 0.0000 0.0000 Pt
0.0000 0.5000 0.0000 N
0.0000 0.0000 0.5000 N
0.5000 0.0000 0.0000 N
```



[3]
Density functional theory data (PBE) for an optimized crystal structure of Bi2PtN2.

## Properties
Its formation energy without anion corrections is -64.2 meV per atom.

POSCAR file:
```
Bi2PtN2
1.0
3.7633 -2.0343 0.1659
-0.0521 4.0186 1.1535
0.4289 4.4336 12.3010
Bi Pt N
2 1 2
Direct
0.2703 0.3959 0.1238 Bi
0.7297 0.6041 0.8762 Bi
0.0000 0.0000 0.0000 Pt
0.4842 0.4881 0.4594 N
0.5158 0.5119 0.5406 N
```



[4]
Density functional theory data (PBE) for an optimized crystal structure of Pu4Bi2PtN2.

## Properties
Its formation energy without anion corrections is -750.9 meV per atom.

POSCAR file:
```
Pu4Bi2PtN2
1.0
-0.1548 1.0474 3.7138
-2.2423 -6.8828 1.8477
7.9164 0.0350 -1.6878
Pu Bi Pt N
4 2 1 2
Direct
0.2109 0.1510 0.4219 Pu
0.7891 0.8490 0.5781 Pu
0.5382 0.7604 0.0763 Pu
0.4618 0.2396 0.9237 Pu
0.1358 0.5196 0.2716 Bi
0.8642 0.4804 0.7284 Bi
0.0000 0.0000 0.0000 Pt
0.6797 0.9803 0.3593 N
0.3203 0.0197 0.6407 N
```



[5]
Density functional theory data (PBE) for an optimized crystal structure of Rb2BiPtN.

## Properties
Its formation energy without anion corrections is -43.0 meV per atom.

POSCAR file:
```
Rb2BiPtN
1.0
-6.5303 -0.6828 1.5473
0.7125 -6.7078 0.0473
0.8348 0.1139 3.5735
Rb Bi Pt N
2 1 1 1
Direct
0.0000 0.5000 0.0000 Rb
0.5000 0.0000 0.0000 Rb
0.5000 0.5000 0.5000 Bi
0.0000 0.0000 0.5000 Pt
0.0000 0.0000 0.0000 N
```



[6]
Density functional theory data (PBE) for an optimized crystal structure of ReBi2PtN.

## Properties
Its formation energy without anion corrections is 1112.8 meV per atom.

POSCAR file:
```
ReBi2PtN
1.0
-4.4113 2.3471 0.4926
-1.3965 -1.6755 -4.5226
-1.5269 -3.2190 1.6640
Re Bi Pt N
1 2 1 1
Direct
0.5000 0.5000 0.5000 Re
0.0000 0.5000 0.0000 Bi
0.5000 0.0000 0.0000 Bi
0.0000 0.0000 0.5000 Pt
0.0000 0.0000 0.0000 N
```



[7]
Density functional theory data (PBE) for an optimized crystal structure of BiPtSeN2.

## Properties
The relative energy among the computed polymorphs comes out at 0.000 eV/atom. Its formation energy without anion corrections is 1148.7 meV per atom.

POSCAR file:
```
BiPtSeN2
1.0
-1.0433 -0.0540 3.9287
3.9109 -0.4046 1.0331
0.4912 5.2653 0.2028
Se Bi Pt N
1 1 1 2
Direct
0.0000 0.0000 0.5000 Se
0.5000 0.5000 0.5000 Bi
0.0000 0.0000 0.0000 Pt
0.0000 0.5000 0.0000 N
0.5000 0.0000 0.0000 N
```



[8]
Density functional theory data (PBE) for an optimized crystal structure of BiPtSeN2.

## Properties
The relative energy among the computed polymorphs comes out at 0.746 eV/atom. Its formation energy without anion corrections is 1894.2 meV per atom.

POSCAR file:
```
BiPtSeN2
1.0
-2.5058 -1.7443 2.9386
3.4127 -1.4666 2.0396
0.2438 4.9083 3.1213
Se Bi Pt N
1 1 1 2
Direct
0.0000 0.0000 0.5000 Se
0.0000 0.0000 0.0000 Bi
0.5000 0.5000 0.5000 Pt
0.0000 0.5000 0.0000 N
0.5000 0.0000 0.0000 N
```



Number 1: calculated volume 24.76 Å³ per atom. Number 2: calculated volume 12.70 Å³ per atom. Number 3: calculated volume 32.83 Å³ per atom. Number 4: calculated volume 23.51 Å³ per atom. Number 5: calculated volume 33.41 Å³ per atom. Number 6: calculated volume 19.83 Å³ per atom. Number 7: calculated volume 17.49 Å³ per atom. Number 8: calculated volume 20.91 Å³ per atom.